Record 1
Below is a relaxed SrFe2Rh crystal, with properties calculated at the PBEsol level.

POSCAR file:
```
SrFe2Rh
1.0
3.245 0.000 0.000
0.000 3.245 0.000
0.000 0.000 6.764
Sr Fe Rh
1 2 1
Cartesian
0.000 0.000 0.000
1.622 1.622 2.286
1.622 1.622 4.478
0.000 0.000 3.382
```

- DFT total energy: -6.493 eV per atom
- Symmetry: P4/mmm, No. 123
- DOS(E_F): 1.21 states/eV per atom
- Calculated formation energy: 11.1 kcal/mol of atoms

=====

Record 2
Below is a relaxed SrFe2Rh crystal, with properties calculated at the PBEsol level.

POSCAR file:
```
SrFe2Rh
1.0
0.000 3.183 3.183
3.183 0.000 3.183
3.183 3.183 0.000
Sr Fe Rh
1 2 1
Cartesian
0.000 0.000 0.000
3.183 3.183 3.183
4.774 4.774 4.774
1.591 1.591 1.591
```

- DFT total energy: -6.304 eV per atom
- Symmetry: F-43m, No. 216
- DOS(E_F): 1.17 states/eV per atom
- Calculated formation energy: 15.5 kcal/mol of atoms